Entry 1:
Computed, not measured: an optimized crystal structure of Mg2AgPd at the PBE-GGA level of DFT.

Unit cell a=6.506 b=6.506 c=6.506 alpha=90.00 beta=90.00 gamma=90.00
Atoms (fractional coordinates):
Mg: 0.000 0.000 0.000
Mg: 0.000 0.500 0.500
Mg: 0.250 0.250 0.250
Mg: 0.250 0.750 0.750
Mg: 0.500 0.000 0.500
Mg: 0.500 0.500 0.000
Mg: 0.750 0.250 0.750
Mg: 0.750 0.750 0.250
Ag: 0.250 0.250 0.750
Ag: 0.250 0.750 0.250
Ag: 0.750 0.250 0.250
Ag: 0.750 0.750 0.750
Pd: 0.000 0.000 0.500
Pd: 0.000 0.500 0.000
Pd: 0.500 0.000 0.000
Pd: 0.500 0.500 0.500

***

Entry 2:
Computed, not measured: an optimized crystal structure of Zr2Pd7 at the PBE-GGA level of DFT.

Unit cell a=5.025 b=5.025 c=13.793 alpha=91.59 beta=91.59 gamma=121.79
Atoms (fractional coordinates):
Zr: 0.229 0.229 0.096
Zr: 0.263 0.263 0.405
Zr: 0.737 0.737 0.595
Zr: 0.771 0.771 0.904
Pd: 0.066 0.390 0.580
Pd: 0.096 0.741 0.750
Pd: 0.119 0.442 0.920
Pd: 0.259 0.904 0.250
Pd: 0.384 0.384 0.750
Pd: 0.390 0.066 0.580
Pd: 0.442 0.119 0.920
Pd: 0.558 0.881 0.080
Pd: 0.610 0.934 0.420
Pd: 0.616 0.616 0.250
Pd: 0.741 0.096 0.750
Pd: 0.881 0.558 0.080
Pd: 0.904 0.259 0.250
Pd: 0.934 0.610 0.420

- energy of formation from the pure elements (kJ/mol of atoms) = -62

***

| no. | DFT total energy (eV per atom) |
| --- | --- |
| 1 | -3.115 |
| 2 | -6.568 |